Here is a relaxed structure of Bi3RuS from Alexandria via LeMat-Bulk. Energies are from PBE.

Calculated values
As for the energy relative to the elements, uncorrected: 1.04 eV/atom. The calculation puts the excess energy over the best structure of this formula in the dataset at 516.1 meV/atom.

Structure (CIF):
```
data_Bi3RuS
_chemical_formula_sum 'Bi3 Ru1 S1'
_cell_length_a 5.256
_cell_length_b 5.256
_cell_length_c 5.256
_cell_angle_alpha 90.00
_cell_angle_beta 90.00
_cell_angle_gamma 90.00
_symmetry_space_group_name_H-M 'P m -3 m'
_symmetry_Int_Tables_number 221
_symmetry_space_group_name_Hall '-P 4 2 3'
loop_
_atom_site_label
_atom_site_type_symbol
_atom_site_fract_x
_atom_site_fract_y
_atom_site_fract_z
Bi1 Bi 0.000 0.000 0.500
Ru1 Ru 0.500 0.500 0.500
S1 S 0.000 0.000 0.000
```